The following is a GGA-PBE calculation of CaThPtAu after structural relaxation, from Alexandria via LeMat-Bulk.

Summary:
Fermi-level density of states	0.786	states/eV per atom
energy relative to the elements	-22.17	kcal/mol of atoms
volume	99.58	Å³/f.u.
SG	No. 38
relative energy among the computed polymorphs	0.0000	eV/atom
final energy	-5.65	eV/atom

Cell lengths 4.354, 6.135, 6.135 Å; angles 37.42, 90.00, 90.00 degrees
Atoms (fractional coordinates):
Ca (0.000, 0.000, 0.000)
Th (0.500, 0.723, 0.723)
Pt (0.000, 0.259, 0.259)
Au (0.500, 0.444, 0.444)